Density functional theory data (PBE) for a relaxed structure of PmThNi.

Results
E_tot = -5.8956 eV per atom
E_form = 13 meV per atom
space group = F-43m

abc: 4.839 4.839 4.839
angles: 60.00 60.00 60.00
Atoms (fractional coordinates):
1 Pm 0.000 0.000 0.000
2 Th 0.500 0.500 0.500
3 Ni 0.250 0.250 0.250

=====

Density functional theory data (PBE) for a relaxed structure of Pm2ThNi9.

Results
E_tot = -5.9753 eV per atom
E_form = -391 meV per atom
space group = R-3m

abc: 8.779 8.779 8.779
angles: 33.17 33.17 33.17
Atoms (fractional coordinates):
1 Pm 0.139 0.139 0.139
2 Pm 0.861 0.861 0.861
3 Th 0.000 0.000 0.000
4 Ni 0.082 0.581 0.581
5 Ni 0.333 0.333 0.333
6 Ni 0.419 0.419 0.918
7 Ni 0.419 0.918 0.419
8 Ni 0.500 0.500 0.500
9 Ni 0.581 0.082 0.581
10 Ni 0.581 0.581 0.082
11 Ni 0.667 0.667 0.667
12 Ni 0.918 0.419 0.419

=====

Density functional theory data (PBE) for a relaxed structure of Pm12TlNi6.

Results
E_tot = -5.1710 eV per atom
space group = Im-3

abc: 8.638 8.638 8.638
angles: 109.47 109.47 109.47
Atoms (fractional coordinates):
1 Pm 0.119 0.306 0.813
2 Pm 0.187 0.493 0.306
3 Pm 0.187 0.881 0.694
4 Pm 0.306 0.187 0.493
5 Pm 0.306 0.813 0.119
6 Pm 0.493 0.306 0.187
7 Pm 0.507 0.694 0.813
8 Pm 0.694 0.187 0.881
9 Pm 0.694 0.813 0.507
10 Pm 0.813 0.119 0.306
11 Pm 0.813 0.507 0.694
12 Pm 0.881 0.694 0.187
13 Tl 0.000 0.000 0.000
14 Ni 0.121 0.500 0.621
15 Ni 0.379 0.879 0.500
16 Ni 0.500 0.379 0.879
17 Ni 0.500 0.621 0.121
18 Ni 0.621 0.121 0.500
19 Ni 0.879 0.500 0.379

=====

Density functional theory data (PBE) for a relaxed structure of Pm2TlNi2.

Results
E_tot = -5.0226 eV per atom
space group = Cmmm

abc: 7.645 7.645 3.796
angles: 90.00 90.00 149.77
Atoms (fractional coordinates):
1 Pm 0.138 0.862 0.000
2 Pm 0.862 0.138 0.000
3 Tl 0.500 0.500 0.500
4 Ni 0.298 0.702 0.500
5 Ni 0.702 0.298 0.500

=====

Density functional theory data (PBE) for a relaxed structure of PmTlNi.

Results
E_tot = -3.8613 eV per atom
energy relative to the lowest polymorph listed for this composition = 581 meV/atom
space group = F-43m

abc: 4.890 4.890 4.890
angles: 60.00 60.00 60.00
Atoms (fractional coordinates):
1 Pm 0.000 0.000 0.000
2 Tl 0.250 0.250 0.250
3 Ni 0.750 0.750 0.750

=====

Density functional theory data (PBE) for a relaxed structure of PmTlNi.

Results
E_tot = -4.4421 eV per atom
energy relative to the lowest polymorph listed for this composition = 0 meV/atom
space group = F-43m

abc: 4.690 4.690 4.690
angles: 60.00 60.00 60.00
Atoms (fractional coordinates):
1 Pm 0.000 0.000 0.000
2 Tl 0.500 0.500 0.500
3 Ni 0.250 0.250 0.250

=====

Density functional theory data (PBE) for a relaxed structure of PmTm2Ni9.

Results
E_tot = -5.7401 eV per atom
E_form = -423 meV per atom
space group = R-3m

abc: 8.542 8.542 8.542
angles: 33.76 33.76 33.76
Atoms (fractional coordinates):
1 Pm 0.000 0.000 0.000
2 Tm 0.140 0.140 0.140
3 Tm 0.860 0.860 0.860
4 Ni 0.082 0.584 0.584
5 Ni 0.333 0.333 0.333
6 Ni 0.416 0.416 0.918
7 Ni 0.416 0.918 0.416
8 Ni 0.500 0.500 0.500
9 Ni 0.584 0.082 0.584
10 Ni 0.584 0.584 0.082
11 Ni 0.667 0.667 0.667
12 Ni 0.918 0.416 0.416

=====

Density functional theory data (PBE) for a relaxed structure of PmUNi.

Results
E_tot = -6.6567 eV per atom
energy relative to the lowest polymorph listed for this composition = 0 meV/atom
E_form = 546 meV per atom
space group = F-43m

abc: 4.670 4.670 4.670
angles: 60.00 60.00 60.00
Atoms (fractional coordinates):
1 Pm 0.000 0.000 0.000
2 U 0.500 0.500 0.500
3 Ni 0.750 0.750 0.750

=====

Density functional theory data (PBE) for a relaxed structure of PmYNi.

Results
E_tot = -5.6907 eV per atom
energy relative to the lowest polymorph listed for this composition = 0 meV/atom
E_form = -98 meV per atom
space group = F-43m

abc: 4.787 4.787 4.787
angles: 60.00 60.00 60.00
Atoms (fractional coordinates):
1 Pm 0.000 0.000 0.000
2 Y 0.500 0.500 0.500
3 Ni 0.250 0.250 0.250

=====

Density functional theory data (PBE) for a relaxed structure of Pm2Zn5Ni5.

Results
E_tot = -4.0198 eV per atom
E_form = -382 meV per atom
space group = Pmmm

abc: 4.063 5.177 8.889
angles: 90.00 90.00 90.00
Atoms (fractional coordinates):
1 Pm 0.000 0.000 0.000
2 Pm 0.000 0.500 0.500
3 Zn 0.500 0.000 0.500
4 Zn 0.500 0.253 0.244
5 Zn 0.500 0.253 0.756
6 Zn 0.500 0.747 0.244
7 Zn 0.500 0.747 0.756
8 Ni 0.000 0.000 0.333
9 Ni 0.000 0.000 0.667
10 Ni 0.000 0.500 0.160
11 Ni 0.000 0.500 0.840
12 Ni 0.500 0.500 0.000

=====

Density functional theory data (PBE) for a relaxed structure of Pm3Zn2Ni4.

Results
E_tot = -4.7320 eV per atom
E_form = -395 meV per atom
space group = C2/m

abc: 5.335 5.335 8.336
angles: 97.90 97.90 45.95
Atoms (fractional coordinates):
1 Pm 0.000 0.000 0.000
2 Pm 0.375 0.375 0.623
3 Pm 0.625 0.625 0.377
4 Zn 0.320 0.320 0.219
5 Zn 0.680 0.680 0.781
6 Ni 0.083 0.083 0.634
7 Ni 0.267 0.267 0.917
8 Ni 0.733 0.733 0.083
9 Ni 0.917 0.917 0.366

=====

Density functional theory data (PBE) for a relaxed structure of PmZnNi4.

Results
E_tot = -5.0499 eV per atom
E_form = -336 meV per atom
space group = F-43m

abc: 4.935 4.935 4.935
angles: 60.00 60.00 60.00
Atoms (fractional coordinates):
1 Pm 0.000 0.000 0.000
2 Zn 0.750 0.750 0.750
3 Ni 0.377 0.377 0.377
4 Ni 0.377 0.377 0.870
5 Ni 0.377 0.870 0.377
6 Ni 0.870 0.377 0.377